[1]
# Fe4TeSe3

A relaxed structure of Fe4TeSe3 (PBE-GGA, Alexandria via LeMat-Bulk).

Output
The value obtained for the density of states at the Fermi level is 0.674 states/eV per atom. Its space group is No. 38. Its raw formation energy is -0.226 eV per atom.

abc: 7.285 7.285 3.630
angles: 90.00 90.00 119.23
Element x y z (fractional)
Fe 0.749 0.251 0.500
Fe 0.260 0.740 0.500
Fe 0.509 0.007 0.000
Fe 0.993 0.491 0.000
Te 0.604 0.396 0.000
Se 0.138 0.862 0.000
Se 0.121 0.374 0.500
Se 0.626 0.879 0.500

***

[2]
# Fe2TeSe

A relaxed structure of Fe2TeSe (PBE-GGA, Alexandria via LeMat-Bulk).

Output
The value obtained for the density of states at the Fermi level is 0.753 states/eV per atom. Its space group is No. 99. Its raw formation energy is -0.140 eV per atom.

abc: 3.590 3.590 6.337
angles: 90.00 90.00 90.00
Element x y z (fractional)
Te 0.500 0.875 0.843
Fe 0.000 0.875 0.135
Fe 0.500 0.375 0.135
Se 0.000 0.375 0.387

***

[3]
# FeTe2Se

A relaxed structure of FeTe2Se (PBE-GGA, Alexandria via LeMat-Bulk).

Output
The value obtained for the density of states at the Fermi level is 1.254 states/eV per atom. Its space group is No. 47. Its raw formation energy is 0.237 eV per atom.

abc: 4.075 7.030 5.700
angles: 35.86 90.00 90.00
Element x y z (fractional)
Fe 0.500 0.500 0.500
Se 0.000 0.000 0.500
Te 0.000 0.000 0.000
Te 0.500 0.500 0.000

***

[4]
# Fe2TeSe

A relaxed structure of Fe2TeSe (PBE-GGA, Alexandria via LeMat-Bulk).

Output
The value obtained for the density of states at the Fermi level is 0.801 states/eV per atom. Its space group is No. 99. Its raw formation energy is 0.004 eV per atom.

abc: 3.276 3.276 7.237
angles: 90.00 90.00 90.01
Element x y z (fractional)
Fe 0.000 0.000 0.052
Fe 0.500 0.500 0.217
Se 0.000 0.000 0.375
Te 0.500 0.500 0.856

***

[5]
# Fe2TeSe

A relaxed structure of Fe2TeSe (PBE-GGA, Alexandria via LeMat-Bulk).

Output
The value obtained for the density of states at the Fermi level is 1.051 states/eV per atom. Its space group is No. 216. Its raw formation energy is 0.734 eV per atom.

abc: 4.683 4.683 4.683
angles: 60.00 60.00 60.00
Element x y z (fractional)
Fe 0.000 0.000 0.000
Fe 0.250 0.250 0.250
Se 0.500 0.500 0.500
Te 0.750 0.750 0.750

***

[6]
# FeTe2Se

A relaxed structure of FeTe2Se (PBE-GGA, Alexandria via LeMat-Bulk).

Output
The value obtained for the density of states at the Fermi level is 0.461 states/eV per atom. Its space group is No. 123. Its raw formation energy is 0.291 eV per atom.

abc: 3.103 3.103 9.219
angles: 90.00 90.00 89.98
Element x y z (fractional)
Fe 0.500 0.500 0.250
Se 0.500 0.500 0.750
Te 0.000 0.000 0.069
Te 0.000 0.000 0.431